No. 1
## NdTmZn2Si2 (PBE)

Data for an optimized crystal structure of NdTmZn2Si2.

Computed properties:
As for the energy relative to the lowest polymorph listed for this composition: 0 meV/atom. For the total magnetization, the calculation gives 0.00 μB/atom. The value obtained for the total energy is -4.397 eV per atom. The theoretical density is 6.92 g/cm3.

Lattice parameters (Å, degrees): 4.1619 4.1619 15.9992 90.00 90.00 120.00
Closest atoms and distances in Å follow each position.
Space group P6_3/mmc (No. 194)
One atom of each set of equivalent atoms:
Nd1 0.0000 0.0000 0.0000 x2  6 Si 3.12, 6 Zn 3.32
Tm1 0.0000 0.0000 0.2500 x2  6 Zn 2.95, 6 Si 3.13
Zn1 0.3333 0.6667 0.1434 x4  3 Si 2.42
Si1 0.3333 0.6667 0.6242 x4  3 Zn 2.42

---

No. 2
## LiAlPd (PBE)

Data for an optimized crystal structure of LiAlPd.

Computed properties:
The value obtained for the total energy is -4.275 eV per atom. The theoretical density is 5.55 g/cm3.

Lattice parameters (Å, degrees): 5.1986 4.1184 7.8473 90.00 90.00 90.00
Closest atoms and distances in Å follow each position.
Space group Pnma (No. 62)
One atom of each set of equivalent atoms:
Li1 0.0618 0.2500 0.2364 x4  2 Li 2.61, 5 Pd 2.64-2.80, 5 Al 2.69-2.82
Al1 0.1692 0.2500 0.5711 x4  5 Pd 2.57-2.63, 5 Li 2.69-2.82
Pd1 0.1736 0.2500 0.9043 x4  5 Al 2.57-2.63, 5 Li 2.64-2.80

---

No. 3
## Ag2Sn2Pb3 (PBE)

Data for an optimized crystal structure of Ag2Sn2Pb3.

Computed properties:
The value obtained for the total energy is -3.343 eV per atom. The theoretical density is 8.99 g/cm3.

Lattice parameters (Å, degrees): 5.2082 5.2082 25.3491 90.00 90.00 120.00
Closest atoms and distances in Å follow each position.
Space group R3m (No. 160, hexagonal axes)
One atom of each set of equivalent atoms:
Ag1 0.0000 0.0000 0.0000 x3  7 Pb 3.14-3.38
Ag2 0.0000 0.0000 0.4887 x3  5 Pb 3.03-3.35
Sn1 0.0000 0.0000 0.2340 x3  7 Pb 3.13-3.43
Sn2 0.0000 0.0000 0.7477 x3  5 Pb 3.02-3.22
Pb1 0.0000 0.0000 0.3691 x3  4 Ag 3.03-3.14, 3 Sn 3.22
Pb2 0.0000 0.0000 0.6209 x3  4 Sn 3.21-3.30, 4 Ag 3.22-3.35
Pb3 0.0000 0.0000 0.8669 x3  4 Sn 3.02-3.13, 4 Ag 3.21-3.38

---

No. 4
## KNpOs (PBE)

Data for an optimized crystal structure of KNpOs.

Computed properties:
As for the energy relative to the lowest polymorph listed for this composition: 0 meV/atom. For the total magnetization, the calculation gives 1.27 μB/atom. The value obtained for the total energy is -7.022 eV per atom. The theoretical density is 9.74 g/cm3.

Lattice parameters (Å, degrees): 6.8260 6.8260 6.8260 90.00 90.00 90.00
Closest atoms and distances in Å follow each position.
Space group F-43m (No. 216)
One atom of each set of equivalent atoms:
K1 0.0000 0.0000 0.0000 x4  4 Os 2.96
Np1 0.0000 0.0000 0.5000 x4  4 Os 2.96
Os1 0.2500 0.2500 0.2500 x4  4 K 2.96, 4 Np 2.96

---

No. 5
## Er3Mg3Zn2Ga (PBE)

Data for an optimized crystal structure of Er3Mg3Zn2Ga.

Computed properties:
For the total magnetization, the calculation gives 0.00 μB/atom. The value obtained for the total energy is -2.967 eV per atom. The theoretical density is 6.41 g/cm3.

Lattice parameters (Å, degrees): 7.4628 7.4628 4.1631 90.00 90.00 120.00
Closest atoms and distances in Å follow each position.
Space group P-62m (No. 189)
One atom of each set of equivalent atoms:
Er1 0.0000 0.4134 0.0000 x3  4 Zn 3.06, 1 Ga 3.09, 6 Mg 3.28-3.40
Mg1 0.0000 0.7529 0.5000 x3  2 Ga 2.78, 2 Zn 2.86
Zn1 0.3333 0.6667 0.5000 x2  3 Mg 2.86, 6 Er 3.06
Ga1 0.0000 0.0000 0.0000 x1  6 Mg 2.78, 3 Er 3.09

---

No. 6
## Sm2Y2CI4Cl (PBE)

Data for an optimized crystal structure of Sm2Y2CI4Cl.

Computed properties:
As for the energy relative to the lowest polymorph listed for this composition: 0 meV/atom. For the total magnetization, the calculation gives 0.00 μB/atom. The value obtained for the total energy is -5.176 eV per atom. The theoretical density is 5.54 g/cm3.

Lattice parameters (Å, degrees): 19.3417 3.9530 8.2798 90.00 101.94 90.00
Closest atoms and distances in Å follow each position.
Space group C2/m (No. 12)
One atom of each set of equivalent atoms:
Sm1 0.0015 0.0000 0.2925 x4  2 C 2.62
Y1 0.1276 0.5000 0.5668 x4  1 C 2.41
C1 0.0000 0.5000 0.5000 x2  2 Y 2.41, 4 Sm 2.62
I1 0.1632 0.0000 0.8520 x4  2 Y 3.05, 1 Sm 3.16
I2 0.1698 0.0000 0.3206 x4  2 Y 3.07, 1 Sm 3.21
Cl1 0.0000 0.5000 0.0000 x2  4 Sm 3.12

---

No. 7
## HfAsPdO (PBE)

Data for an optimized crystal structure of HfAsPdO.

Computed properties:
As for the energy relative to the lowest polymorph listed for this composition: 79 meV/atom. For the total magnetization, the calculation gives 0.00 μB/atom. The value obtained for the total energy is -7.553 eV per atom. The theoretical density is 9.50 g/cm3.

Lattice parameters (Å, degrees): 3.6609 6.4465 5.5660 90.00 90.00 90.00
Closest atoms and distances in Å follow each position.
Space group Pmc2_1 (No. 26)
One atom of each set of equivalent atoms:
Hf1 0.0000 0.2009 0.0000 x2  2 O 1.98
As1 0.0000 0.3021 0.4974 x2  4 Pd 2.60-2.66, 2 Hf 2.84-2.87
Pd1 0.5000 0.4953 0.7437 x2  4 As 2.60-2.66, 2 Pd 2.78
O1 0.5000 0.0871 0.0234 x2  2 Hf 1.98

---

No. 8
## TaIrOs (PBE)

Data for an optimized crystal structure of TaIrOs.

Computed properties:
As for the energy relative to the lowest polymorph listed for this composition: 0 meV/atom. For the total magnetization, the calculation gives 0.00 μB/atom. The value obtained for the total energy is -10.439 eV per atom. The theoretical density is 17.00 g/cm3. For the calculated formation energy, the calculation gives 0.206 eV per atom.

Lattice parameters (Å, degrees): 6.0380 6.0380 6.0380 90.00 90.00 90.00
Closest atoms and distances in Å follow each position.
Space group F-43m (No. 216)
One atom of each set of equivalent atoms:
Ta1 0.0000 0.0000 0.0000 x4  4 Os 2.61, 4 Ir 2.61
Ir1 0.2500 0.2500 0.7500 x4  4 Ta 2.61
Os1 0.2500 0.2500 0.2500 x4  4 Ta 2.61